# 1
Compound: B2HPb
Source: Alexandria via LeMat-Bulk
Functional: PBE
Structure: optimized geometry

Calculated values
Energy: -0.3117 Ry/atom
E above lowest polymorph: 0.000 eV/atom

a = 3.231 Å, b = 3.231 Å, c = 21.065 Å
α = 90.00°, β = 90.00°, γ = 90.00°
Space group I4_1/amd (No. 141, origin choice 2)
Unique sites:
1 B 0.000 0.000 0.000 (multiplicity 8)
2 H 0.000 0.250 0.875 (multiplicity 4)
3 Pb 0.000 0.250 0.375 (multiplicity 4)

***

# 2
Compound: Y2ZnGa4Ni3
Source: Alexandria via LeMat-Bulk
Functional: PBE
Structure: optimized geometry

Calculated values
Energy: -0.3616 Ry/atom

a = 4.045 Å, b = 4.045 Å, c = 10.333 Å
α = 90.00°, β = 90.00°, γ = 90.00°
Space group P-4m2 (No. 115)
Unique sites:
1 Y 0.000 0.500 0.241 (multiplicity 2)
2 Zn 0.000 0.000 0.500 (multiplicity 1)
3 Ga 0.000 0.000 0.000 (multiplicity 1)
4 Ga 0.000 0.500 0.641 (multiplicity 2)
5 Ga 0.500 0.500 0.000 (multiplicity 1)
6 Ni 0.000 0.500 0.869 (multiplicity 2)
7 Ni 0.500 0.500 0.500 (multiplicity 1)

***

# 3
Compound: RbMg2I
Source: Alexandria via LeMat-Bulk
Functional: PBE
Structure: optimized geometry

Calculated values
E_form (uncorrected): 0.0319 eV/atom
Energy: -0.1025 Ry/atom
E above lowest polymorph: 0.175 eV/atom

a = 8.893 Å, b = 8.893 Å, c = 8.893 Å
α = 90.00°, β = 90.00°, γ = 90.00°
Space group Fm-3m (No. 225)
Unique sites:
1 Rb 0.000 0.000 0.000 (multiplicity 4)
2 Mg 0.250 0.250 0.250 (multiplicity 8)
3 I 0.000 0.000 0.500 (multiplicity 4)

***

# 4
Compound: KLiHg2Se
Source: Alexandria via LeMat-Bulk
Functional: PBE
Structure: optimized geometry

Calculated values
E_form (uncorrected): -0.5177 eV/atom
Energy: -0.1424 Ry/atom

a = 5.371 Å, b = 5.371 Å, c = 5.013 Å
α = 90.00°, β = 90.00°, γ = 90.00°
Space group P4/mmm (No. 123)
Unique sites:
1 K 0.000 0.000 0.000 (multiplicity 1)
2 Li 0.500 0.500 0.500 (multiplicity 1)
3 Hg 0.000 0.500 0.500 (multiplicity 2)
4 Se 0.500 0.500 0.000 (multiplicity 1)

***

# 5
Compound: Ta2PdPt
Source: Alexandria via LeMat-Bulk
Functional: PBE
Structure: optimized geometry

Calculated values
Energy: -0.6773 Ry/atom

a = 5.657 Å, b = 8.232 Å, c = 2.821 Å
α = 90.00°, β = 90.00°, γ = 90.00°
Space group Cmmm (No. 65)
Unique sites:
1 Ta 0.250 0.250 0.000 (multiplicity 4)
2 Pd 0.000 0.000 0.500 (multiplicity 2)
3 Pt 0.000 0.500 0.500 (multiplicity 2)

***

# 6
Compound: Cu2SnCl
Source: Alexandria via LeMat-Bulk
Functional: PBE
Structure: optimized geometry

Calculated values
E_form (uncorrected): 0.4279 eV/atom
Energy: -0.2266 Ry/atom
E above lowest polymorph: 0.364 eV/atom

a = 6.715 Å, b = 6.715 Å, c = 6.715 Å
α = 90.00°, β = 90.00°, γ = 90.00°
Space group Fm-3m (No. 225)
Unique sites:
1 Cu 0.250 0.250 0.250 (multiplicity 8)
2 Sn 0.000 0.000 0.000 (multiplicity 4)
3 Cl 0.000 0.000 0.500 (multiplicity 4)

***

# 7
Compound: YEr3In
Source: Alexandria via LeMat-Bulk
Functional: PBE
Structure: optimized geometry

Calculated values
Energy: -0.3500 Ry/atom
E above lowest polymorph: 0.000 eV/atom

a = 4.782 Å, b = 25.146 Å, c = 4.770 Å
α = 90.00°, β = 90.00°, γ = 90.00°
Space group Cmcm (No. 63)
Unique sites:
1 Y 0.000 0.149 0.250 (multiplicity 4)
2 Er 0.000 0.048 0.750 (multiplicity 4)
3 Er 0.000 0.250 0.750 (multiplicity 4)
4 Er 0.000 0.448 0.750 (multiplicity 4)
5 In 0.000 0.348 0.250 (multiplicity 4)

***

# 8
Compound: CaMo2Ru
Source: Alexandria via LeMat-Bulk
Functional: PBE
Structure: optimized geometry

Calculated values
Energy: -0.5557 Ry/atom
E above lowest polymorph: 0.263 eV/atom

a = 3.816 Å, b = 3.816 Å, c = 9.571 Å
α = 90.00°, β = 90.00°, γ = 90.00°
Space group I4/mmm (No. 139)
Unique sites:
1 Ca 0.000 0.000 0.000 (multiplicity 2)
2 Mo 0.000 0.500 0.250 (multiplicity 4)
3 Ru 0.000 0.000 0.500 (multiplicity 2)

***

What is the energy in the first record? -0.3117 Ry/atom